1.
Here is NdHfHg2 after structural relaxation from Alexandria via LeMat-Bulk. Energies are from PBE-GGA.

## Properties
Space group: P4/mmm (123)
Magnetization: 0.766 μB/f.u.
E above lowest polymorph: 0 meV per atom
Formation enthalpy at 0 K: -0.19 eV per atom

Unit cell a=3.589 b=3.589 c=7.590 alpha=90.00 beta=90.00 gamma=90.00
Fractional coordinates of all 4 atoms:
Hf1 0.500 0.500 0.000
Hg1 0.000 0.000 0.218
Hg2 0.000 0.000 0.782
Nd1 0.500 0.500 0.500



2.
Here is NdHfHg2 after structural relaxation from Alexandria via LeMat-Bulk. Energies are from PBE-GGA.

## Properties
Space group: Fm-3m (225)
Magnetization: 1.065 μB/f.u.
E above lowest polymorph: 68 meV per atom
Formation enthalpy at 0 K: -0.12 eV per atom

Unit cell a=5.190 b=5.190 c=5.194 alpha=60.03 beta=60.03 gamma=60.00
Fractional coordinates of all 4 atoms:
Nd1 0.000 0.000 0.000
Hg1 0.250 0.250 0.251
Hg2 0.750 0.750 0.749
Hf1 0.500 0.500 0.500



3.
Here is Hf4Ni2Hg after structural relaxation from Alexandria via LeMat-Bulk. Energies are from PBE-GGA.

## Properties
Space group: R-3m (166)
Magnetization: 0.000 μB/f.u.
Formation enthalpy at 0 K: 0.01 eV per atom

Unit cell a=4.352 b=4.352 c=9.065 alpha=76.11 beta=76.11 gamma=60.00
Fractional coordinates of all 7 atoms:
Ni1 0.603 0.603 0.190
Ni2 0.397 0.397 0.810
Hf1 0.701 0.701 0.897
Hf2 0.299 0.299 0.103
Hf3 0.111 0.111 0.667
Hf4 0.889 0.889 0.333
Hg1 0.500 0.500 0.500



> Which value of formation enthalpy at 0 K does entry 2 give?

-0.12 eV per atom